# 1
An optimized crystal structure of TiCrN2, computed with PBE.

The structure belongs to space group Pmmn (No. 59, origin choice 2); the cell edges are 2.812, 5.176 and 4.833 Å and the angles 90.00°, 90.00° and 90.00°. The asymmetric unit holds Ti at (0.250, 0.250, 0.084), Cr at (0.250, 0.750, 0.413) and N at (0.250, 0.003, 0.736).

As for the uncorrected energy: -9.56 eV/atom. Its magnetization is 0.00 μB per atom. As for the theoretical density: 6.04 g/cm³.


# 2
An optimized crystal structure of TiCr4N4, computed with PBE.

The structure belongs to space group P-1 (No. 2); the cell edges are 5.000, 5.006 and 7.825 Å and the angles 83.78°, 71.80° and 69.17°. The asymmetric unit holds Ti at (0.134, 0.247, 0.222), Cr at (0.057, 0.746, 0.386), Cr at (0.261, 0.739, 0.000), Cr at (0.353, 0.237, 0.763), Cr at (0.447, 0.750, 0.611), N at (0.090, 0.001, 0.818), N at (0.212, 0.501, 0.583), N at (0.295, 0.995, 0.412) and N at (0.347, 0.339, 0.984).

As for the uncorrected energy: -9.44 eV/atom. Its magnetization is 0.27 μB per atom. As for the theoretical density: 5.96 g/cm³.


# 3
An optimized crystal structure of TiCrN2, computed with PBE.

The structure belongs to space group R-3m (No. 166, hexagonal axes); the cell edges are 3.0126, 3.0126 and 14.0673 Å and the angles 90.00°, 90.00° and 120.00°. The asymmetric unit holds Ti at (0.0000, 0.0000, 0.0000), Cr at (0.0000, 0.0000, 0.5000) and N at (0.0000, 0.0000, 0.2478).

As for the uncorrected energy: -9.62 eV/atom. Its magnetization is 0.53 μB per atom. As for the theoretical density: 5.76 g/cm³.


# 4
An optimized crystal structure of TiCrN2, computed with PBE.

The structure belongs to space group I-42d (No. 122); the cell edges are 4.486, 4.486 and 9.071 Å and the angles 90.00°, 90.00° and 90.00°. The asymmetric unit holds Ti at (0.000, 0.000, 0.000), Cr at (0.000, 0.000, 0.500) and N at (0.239, 0.250, 0.625).

As for the uncorrected energy: -9.46 eV/atom. Its magnetization is 0.49 μB per atom. As for the theoretical density: 4.65 g/cm³.


# 5
An optimized crystal structure of TiCr2N, computed with PBE.

The structure belongs to space group I-42d (No. 122); the cell edges are 5.691, 5.691 and 7.007 Å and the angles 90.00°, 90.00° and 90.00°. The asymmetric unit holds Ti at (0.000, 0.000, 0.000), Cr at (0.127, 0.250, 0.625) and N at (0.000, 0.000, 0.500).

As for the uncorrected energy: -8.67 eV/atom. Its magnetization is 0.74 μB per atom. As for the theoretical density: 4.85 g/cm³.


# 6
An optimized crystal structure of TiCrN, computed with PBE.

The structure belongs to space group P3m1 (No. 156); the cell edges are 2.9199, 2.9199 and 4.4574 Å and the angles 90.00°, 90.00° and 120.00°. The asymmetric unit holds Ti at (0.0000, 0.0000, 0.0000), Cr at (0.3333, 0.6667, 0.5054) and N at (0.6667, 0.3333, 0.7340).

As for the uncorrected energy: -9.47 eV/atom. Its magnetization is 0.00 μB per atom. As for the theoretical density: 5.75 g/cm³.


The highest magnetization belongs to which entry? TiCr2N


uncorrected energy of number 4 (TiCrN2)? -9.46 eV/atom


theoretical density of number 4 (TiCrN2)? 4.65 g/cm³